[1]
DFT (GGA-PBE) results for a relaxed SnTe2AsI crystal.

The structure in POSCAR format:
```
SnTe2AsI
1.0
-1.121 -4.983 2.158
-1.851 -1.721 -4.935
5.074 -1.708 -1.308
I As Te Sn
1 1 2 1
Cartesian
2.537 -0.854 -0.654
0.000 0.000 0.000
-0.926 -0.861 -2.467
-0.560 -2.491 1.079
1.051 -4.206 -2.042
```

Summary:
Formation energy without anion corrections in meV/atom: 275
Calculated total energy in eV per atom: -3.023
Crystal system: tetragonal
Relative energy among the computed polymorphs in kJ per mole of atoms: 0.0

[2]
DFT (GGA-PBE) results for a relaxed SnTeAsI2 crystal.

The structure in POSCAR format:
```
SnTeAsI2
1.0
5.914 0.000 0.000
0.000 5.914 0.000
0.000 0.000 6.025
I As Te Sn
2 1 1 1
Cartesian
0.000 2.957 0.000
2.957 0.000 0.000
2.957 2.957 3.013
0.000 0.000 3.013
0.000 0.000 0.000
```

Summary:
Formation energy without anion corrections in meV/atom: 524
Calculated total energy in eV per atom: -2.454
Crystal system: tetragonal
Relative energy among the computed polymorphs in kJ per mole of atoms: 30.9

[3]
DFT (GGA-PBE) results for a relaxed SnTe2AsI crystal.

The structure in POSCAR format:
```
SnTe2AsI
1.0
-3.239 -0.601 -4.774
1.246 -5.663 -0.133
-4.672 -1.106 3.309
I As Te Sn
1 1 2 1
Cartesian
-2.336 -0.553 1.654
-3.333 -3.685 -0.799
0.623 -2.832 -0.066
-1.619 -0.300 -2.387
0.000 0.000 0.000
```

Summary:
Formation energy without anion corrections in meV/atom: 697
Calculated total energy in eV per atom: -2.600
Crystal system: tetragonal
Relative energy among the computed polymorphs in kJ per mole of atoms: 40.8

[4]
DFT (GGA-PBE) results for a relaxed TlSn2AsI crystal.

The structure in POSCAR format:
```
TlSn2AsI
1.0
5.793 0.000 0.000
0.000 5.793 0.000
0.000 0.000 5.991
I As Tl Sn
1 1 1 2
Cartesian
0.000 0.000 2.996
2.896 2.896 2.996
0.000 0.000 0.000
0.000 2.896 0.000
2.896 0.000 0.000
```

Summary:
Formation energy without anion corrections in meV/atom: 836
Calculated total energy in eV per atom: -2.478
Crystal system: tetragonal

[5]
DFT (GGA-PBE) results for a relaxed V2SnAsI crystal.

The structure in POSCAR format:
```
V2SnAsI
1.0
4.845 0.000 0.000
0.000 5.946 0.000
0.000 0.000 4.845
I As Sn V
1 1 1 2
Cartesian
0.000 2.973 0.000
0.000 0.000 0.000
2.423 2.973 2.423
0.000 0.000 2.423
2.423 0.000 0.000
```

Summary:
Formation energy without anion corrections in meV/atom: 781
Calculated total energy in eV per atom: -4.907
Crystal system: tetragonal

[6]
DFT (GGA-PBE) results for a relaxed ZnSn2AsI crystal.

The structure in POSCAR format:
```
ZnSn2AsI
1.0
-1.883 0.080 -5.306
-1.350 -5.453 0.397
-4.231 1.158 1.519
I Zn As Sn
1 1 1 2
Cartesian
-3.732 -2.108 -1.695
0.000 0.000 0.000
-2.116 0.579 0.760
-0.675 -2.726 0.199
-0.942 0.040 -2.653
```

Summary:
Formation energy without anion corrections in meV/atom: 302
Calculated total energy in eV per atom: -2.794
Crystal system: tetragonal

[7]
DFT (GGA-PBE) results for a relaxed ZrSnAsI2 crystal.

The structure in POSCAR format:
```
ZrSnAsI2
1.0
-3.368 -0.202 4.754
4.679 -1.543 3.249
1.131 5.623 1.041
I As Sn Zr
2 1 1 1
Cartesian
0.566 2.812 0.520
-1.684 -0.101 2.377
1.222 1.939 4.522
0.000 0.000 0.000
2.340 -0.771 1.625
```

Summary:
Formation energy without anion corrections in meV/atom: 907
Calculated total energy in eV per atom: -3.153
Crystal system: tetragonal

[8]
DFT (GGA-PBE) results for a relaxed Sr2AsI crystal.

The structure in POSCAR format:
```
Sr2AsI
1.0
0.627 1.727 5.335
-4.363 2.275 2.760
-2.477 -2.845 4.195
I Sr As
1 2 1
Cartesian
-3.107 0.578 6.145
-1.553 0.289 3.072
-4.660 0.867 9.217
0.000 0.000 0.000
```

Summary:
Formation energy without anion corrections in meV/atom: -1167
Calculated total energy in eV per atom: -3.558
Crystal system: cubic